# 1
! PBE K2NaZrH6, relaxed; values from VASP
! **Energy**: -33.55 eV per formula unit
&SYSTEM
  ibrav = 0, nat = 10, ntyp = 4
/
ATOMIC_SPECIES
H 1.01 H.upf
K 39.10 K.upf
Na 22.99 Na.upf
Zr 91.22 Zr.upf
CELL_PARAMETERS angstrom
-2.480 -4.134 3.556
1.430 -0.197 5.814
-4.023 1.626 4.131
ATOMIC_POSITIONS crystal
H 0.763 0.237 0.237
H 0.237 0.763 0.237
H 0.763 0.763 0.237
H 0.237 0.237 0.763
H 0.763 0.237 0.763
H 0.237 0.763 0.763
K 0.250 0.250 0.250
K 0.750 0.750 0.750
Na 0.500 0.500 0.500
Zr 0.000 0.000 0.000



# 2
! PBE K2NbNiH6, relaxed; values from VASP
! **Energy**: -36.87 eV per formula unit
&SYSTEM
  ibrav = 0, nat = 10, ntyp = 4
/
ATOMIC_SPECIES
H 1.01 H.upf
K 39.10 K.upf
Nb 92.91 Nb.upf
Ni 58.69 Ni.upf
CELL_PARAMETERS angstrom
-1.775 0.660 -5.099
-2.382 -4.137 -2.607
-2.570 2.462 4.113
ATOMIC_POSITIONS crystal
H 0.728 0.270 0.270
H 0.270 0.728 0.270
H 0.271 0.271 0.272
H 0.729 0.729 0.728
H 0.730 0.272 0.730
H 0.272 0.730 0.730
K 0.750 0.750 0.250
K 0.250 0.250 0.750
Nb 0.000 0.000 0.000
Ni 0.500 0.500 0.500



# 3
! PBE KNb4HS5, relaxed; values from VASP
! **Energy**: -73.68 eV per formula unit
&SYSTEM
  ibrav = 0, nat = 11, ntyp = 4
/
ATOMIC_SPECIES
H 1.01 H.upf
K 39.10 K.upf
Nb 92.91 Nb.upf
S 32.06 S.upf
CELL_PARAMETERS angstrom
-4.289 2.130 0.983
-1.348 -3.915 2.600
3.281 3.434 6.872
ATOMIC_POSITIONS crystal
H 0.000 0.000 0.500
K 0.500 0.500 0.500
Nb 0.500 0.000 0.000
Nb 0.000 0.500 0.000
Nb 0.000 0.000 0.247
Nb 0.000 0.000 0.753
S 0.500 0.500 0.000
S 0.500 0.000 0.291
S 0.000 0.500 0.291
S 0.500 0.000 0.709
S 0.000 0.500 0.709



# 4
! PBE K2NiH3, relaxed; values from VASP
! **Energy**: -16.57 eV per formula unit
&SYSTEM
  ibrav = 0, nat = 6, ntyp = 3
/
ATOMIC_SPECIES
H 1.01 H.upf
K 39.10 K.upf
Ni 58.69 Ni.upf
CELL_PARAMETERS angstrom
-0.983 2.772 1.332
-1.288 -2.799 0.962
6.246 -0.752 6.179
ATOMIC_POSITIONS crystal
H 0.000 0.000 0.000
H 0.667 0.333 0.428
H 0.333 0.667 0.572
K 0.333 0.667 0.197
K 0.667 0.333 0.803
Ni 0.000 0.000 0.500



# 5
! PBE KRbNiH2, relaxed; values from VASP
! **Energy**: -14.26 eV per formula unit
&SYSTEM
  ibrav = 0, nat = 5, ntyp = 4
/
ATOMIC_SPECIES
H 1.01 H.upf
K 39.10 K.upf
Ni 58.69 Ni.upf
Rb 85.47 Rb.upf
CELL_PARAMETERS angstrom
-2.051 2.051 6.102
2.051 -2.051 6.102
2.051 2.051 -6.102
ATOMIC_POSITIONS crystal
H 0.129 0.129 0.000
H 0.870 0.870 0.000
K 0.364 0.364 0.000
Ni 0.998 0.998 0.000
Rb 0.639 0.639 0.000



# 6
! PBE K2H6OsO6, relaxed; values from VASP
! **Energy**: -80.27 eV per formula unit
&SYSTEM
  ibrav = 0, nat = 15, ntyp = 4
/
ATOMIC_SPECIES
H 1.01 H.upf
K 39.10 K.upf
O 16.00 O.upf
Os 190.23 Os.upf
CELL_PARAMETERS angstrom
3.192 1.843 4.118
-3.192 1.843 4.118
0.000 -3.685 4.118
ATOMIC_POSITIONS crystal
H 0.622 0.767 0.187
H 0.813 0.378 0.233
H 0.233 0.813 0.378
H 0.767 0.187 0.622
H 0.187 0.622 0.767
H 0.378 0.233 0.813
K 0.290 0.290 0.290
K 0.710 0.710 0.710
O 0.296 0.804 0.189
O 0.811 0.704 0.196
O 0.804 0.189 0.296
O 0.196 0.811 0.704
O 0.189 0.296 0.804
O 0.704 0.196 0.811
Os 0.000 0.000 0.000



# 7
! PBE KP2H4PtO9, relaxed; values from VASP
! **Energy**: -102.58 eV per formula unit
&SYSTEM
  ibrav = 0, nat = 68, ntyp = 5
/
ATOMIC_SPECIES
H 1.01 H.upf
K 39.10 K.upf
O 16.00 O.upf
P 30.97 P.upf
Pt 195.08 Pt.upf
CELL_PARAMETERS angstrom
7.693 0.000 0.000
3.121 7.156 0.000
1.736 0.885 13.274
ATOMIC_POSITIONS crystal
H 0.444 0.889 0.118
H 0.235 0.739 0.141
H 0.219 0.570 0.222
H 0.960 0.051 0.237
H 0.558 0.394 0.263
H 0.441 0.685 0.314
H 0.219 0.823 0.343
H 0.068 0.600 0.407
H 0.932 0.400 0.593
H 0.781 0.177 0.657
H 0.559 0.315 0.686
H 0.442 0.606 0.737
H 0.040 0.949 0.763
H 0.781 0.430 0.778
H 0.765 0.261 0.859
H 0.556 0.111 0.882
K 0.615 0.189 0.089
K 0.869 0.364 0.372
K 0.131 0.636 0.628
K 0.385 0.811 0.911
O 0.984 0.811 0.006
O 0.684 0.521 0.059
O 0.249 0.937 0.102
O 0.218 0.266 0.109
O 0.589 0.845 0.125
O 0.267 0.600 0.151
O 0.898 0.590 0.171
O 0.939 0.172 0.182
O 0.598 0.563 0.244
O 0.529 0.275 0.282
O 0.996 0.907 0.303
O 0.182 0.477 0.331
O 0.687 0.857 0.351
O 0.301 0.131 0.362
O 0.343 0.745 0.371
O 0.973 0.700 0.456
O 0.790 0.052 0.457
O 0.404 0.332 0.466
O 0.596 0.668 0.534
O 0.210 0.948 0.543
O 0.027 0.300 0.544
O 0.657 0.255 0.629
O 0.699 0.869 0.638
O 0.313 0.143 0.649
O 0.818 0.523 0.669
O 0.004 0.093 0.697
O 0.471 0.725 0.718
O 0.402 0.437 0.756
O 0.061 0.828 0.818
O 0.102 0.410 0.829
O 0.733 0.400 0.849
O 0.411 0.155 0.875
O 0.782 0.734 0.891
O 0.751 0.063 0.898
O 0.316 0.479 0.941
O 0.016 0.189 0.994
P 0.106 0.141 0.097
P 0.693 0.628 0.149
P 0.353 0.304 0.362
P 0.857 0.882 0.390
P 0.143 0.118 0.610
P 0.647 0.696 0.638
P 0.307 0.372 0.851
P 0.894 0.859 0.903
Pt 0.100 0.537 0.055
Pt 0.449 0.903 0.449
Pt 0.551 0.097 0.551
Pt 0.900 0.463 0.945



# 8
! PBE KZnP2H5O9, relaxed; values from VASP
! **Energy**: -104.97 eV per formula unit
&SYSTEM
  ibrav = 0, nat = 36, ntyp = 5
/
ATOMIC_SPECIES
H 1.01 H.upf
K 39.10 K.upf
O 16.00 O.upf
P 30.97 P.upf
Zn 65.41 Zn.upf
CELL_PARAMETERS angstrom
-3.179 2.528 -6.303
-0.240 -5.860 -4.920
-6.251 -4.467 0.554
ATOMIC_POSITIONS crystal
H 0.543 0.486 0.268
H 0.445 0.330 0.277
H 0.141 0.290 0.433
H 0.793 0.069 0.442
H 0.530 0.689 0.469
H 0.470 0.311 0.531
H 0.207 0.931 0.558
H 0.859 0.710 0.567
H 0.555 0.670 0.723
H 0.457 0.514 0.732
K 0.137 0.773 0.213
K 0.863 0.227 0.787
O 0.745 0.941 0.091
O 0.749 0.496 0.140
O 0.022 0.197 0.157
O 0.476 0.158 0.196
O 0.517 0.782 0.320
O 0.435 0.435 0.326
O 0.041 0.411 0.334
O 0.741 0.908 0.432
O 0.833 0.186 0.451
O 0.167 0.814 0.549
O 0.259 0.092 0.568
O 0.959 0.589 0.666
O 0.565 0.565 0.674
O 0.483 0.218 0.680
O 0.524 0.842 0.804
O 0.978 0.803 0.843
O 0.251 0.504 0.860
O 0.255 0.059 0.909
P 0.621 0.949 0.260
P 0.911 0.322 0.263
P 0.089 0.678 0.737
P 0.379 0.051 0.740
Zn 0.258 0.231 0.035
Zn 0.742 0.769 0.965



Which of these has the lowest energy? KZnP2H5O9



Repeat the fifth record exactly.
! PBE KRbNiH2, relaxed; values from VASP
! **Energy**: -14.26 eV per formula unit
&SYSTEM
  ibrav = 0, nat = 5, ntyp = 4
/
ATOMIC_SPECIES
H 1.01 H.upf
K 39.10 K.upf
Ni 58.69 Ni.upf
Rb 85.47 Rb.upf
CELL_PARAMETERS angstrom
-2.051 2.051 6.102
2.051 -2.051 6.102
2.051 2.051 -6.102
ATOMIC_POSITIONS crystal
H 0.129 0.129 0.000
H 0.870 0.870 0.000
K 0.364 0.364 0.000
Ni 0.998 0.998 0.000
Rb 0.639 0.639 0.000